The following is a DFT calculation (PBE) of a relaxed Er5Tl3 crystal.

E_tot (eV per atom): -4.036
Energy of formation from the pure elements (kJ/mol of atoms): -28.6
Crystal system: hexagonal
Total magnetization (μB per cell): 0.00
D(E_F) (states/eV per atom): 1.23

abc: 8.9608 8.9608 6.5565
angles: 90.00 90.00 120.00
Space group P6_3/mcm (No. 193)
One atom of each set of equivalent atoms:
Er  0.0000  0.2341  0.2500 (multiplicity 6)
Er  0.3333  0.6667  0.0000 (multiplicity 4)
Tl  0.0000  0.4030  0.7500 (multiplicity 6)

***

The following is a DFT calculation (PBE) of a relaxed Er5Tl6 crystal.

E_tot (eV per atom): -3.613
Energy of formation from the pure elements (kJ/mol of atoms): -24.0
Crystal system: orthorhombic
Total magnetization (μB per cell): 0.00
D(E_F) (states/eV per atom): 0.68

abc: 5.252 7.422 15.984
angles: 90.00 90.00 90.00
Space group Immm (No. 71)
One atom of each set of equivalent atoms:
Er  0.000  0.000  0.000 (multiplicity 2)
Er  0.000  0.000  0.337 (multiplicity 4)
Er  0.000  0.500  0.335 (multiplicity 4)
Tl  0.000  0.234  0.500 (multiplicity 4)
Tl  0.000  0.255  0.162 (multiplicity 8)

***

The following is a DFT calculation (PBE) of a relaxed Er5Tl3 crystal.

E_tot (eV per atom): -4.011
Energy of formation from the pure elements (kJ/mol of atoms): -26.2
Crystal system: orthorhombic
Total magnetization (μB per cell): 0.00
D(E_F) (states/eV per atom): 0.76

abc: 6.786 13.065 5.085
angles: 90.00 90.00 90.00
Space group Pbam (No. 55)
One atom of each set of equivalent atoms:
Er  0.000  0.000  0.000 (multiplicity 2)
Er  0.151  0.274  0.000 (multiplicity 4)
Er  0.158  0.606  0.500 (multiplicity 4)
Tl  0.000  0.500  0.000 (multiplicity 2)
Tl  0.110  0.849  0.500 (multiplicity 4)

***

The following is a DFT calculation (PBE) of a relaxed Er8Tl crystal.

E_tot (eV per atom): -4.357
Energy of formation from the pure elements (kJ/mol of atoms): -3.7
Crystal system: tetragonal
Total magnetization (μB per cell): 0.00
D(E_F) (states/eV per atom): 1.54

abc: 10.501 10.501 4.846
angles: 90.00 90.00 90.00
Space group I4/mmm (No. 139)
One atom of each set of equivalent atoms:
Er  0.000  0.336  0.000 (multiplicity 8)
Er  0.163  0.163  0.500 (multiplicity 8)
Tl  0.000  0.000  0.000 (multiplicity 2)

***

The following is a DFT calculation (PBE) of a relaxed ErTl3 crystal.

E_tot (eV per atom): -3.044
Energy of formation from the pure elements (kJ/mol of atoms): -12.4
Crystal system: orthorhombic
Total magnetization (μB per cell): 0.00
D(E_F) (states/eV per atom): 0.62

abc: 3.698 11.049 5.484
angles: 90.00 90.00 90.00
Space group Imm2 (No. 44)
One atom of each set of equivalent atoms:
Er  0.000  0.000  0.000 (multiplicity 2)
Tl  0.000  0.255  0.367 (multiplicity 4)
Tl  0.000  0.500  0.988 (multiplicity 2)

***

The following is a DFT calculation (PBE) of a relaxed Er5Tl2 crystal.

E_tot (eV per atom): -4.109
Energy of formation from the pure elements (kJ/mol of atoms): -16.8
Crystal system: orthorhombic
Total magnetization (μB per cell): 1.61
D(E_F) (states/eV per atom): 0.97

abc: 3.746 41.571 5.160
angles: 90.00 90.00 90.00
Space group Cmcm (No. 63)
One atom of each set of equivalent atoms:
Er  0.000  0.025  0.250 (multiplicity 4)
Er  0.000  0.118  0.750 (multiplicity 4)
Er  0.000  0.239  0.250 (multiplicity 4)
Er  0.000  0.331  0.750 (multiplicity 4)
Er  0.000  0.454  0.250 (multiplicity 4)
Tl  0.000  0.193  0.750 (multiplicity 4)
Tl  0.000  0.406  0.750 (multiplicity 4)